[1]
First-principles (PBE-GGA) data for a geometry-optimized Tm2Be2AlPd5 structure, as listed in the Alexandria database.

## Properties
- DOS(E_F): 0.428 states/eV per atom
- Mass density: 9752 kg/m³
- E_tot: -5.433 eV/atom
- Magnetic moment: 0.00 μB/f.u.

Unit cell a=9.5717 b=9.5717 c=3.4011 alpha=90.00 beta=90.00 gamma=90.00
With the nearest neighbours (Å) after each atom.
Space group P4/mbm (No. 127)
Inequivalent atoms, fractional coordinates:
Tm 0.1766 0.3234 0.0000 [4 per cell]  3 Be 2.75-2.89, 10 Pd 2.93-3.08
Be 0.1200 0.6200 0.0000 [4 per cell]  6 Pd 2.35-2.40
Al 0.0000 0.0000 0.0000 [2 per cell]  8 Pd 2.72
Pd 0.0000 0.5000 0.5000 [2 per cell]  4 Be 2.35
Pd 0.0675 0.7883 0.5000 [8 per cell]  2 Be 2.40

[2]
First-principles (PBE-GGA) data for a geometry-optimized Y2BeAlPd6 structure, as listed in the Alexandria database.

## Properties
- DOS(E_F): 0.284 states/eV per atom
- Mass density: 7820 kg/m³
- E_tot: -5.865 eV/atom
- Magnetic moment: 0.00 μB/f.u.

Unit cell a=5.6958 b=5.8575 c=6.9519 alpha=68.57 beta=65.86 gamma=60.98
With the nearest neighbours (Å) after each atom.
Space group P-1 (No. 2)
Inequivalent atoms, fractional coordinates:
Y 0.2111 0.2504 0.3197 [2 per cell]  8 Pd 2.92-3.26
Be 0.0000 0.0000 0.0000 [1 per cell]  6 Pd 2.15-2.17
Al 0.5000 0.5000 0.5000 [1 per cell]  6 Pd 2.48-2.49
Pd 0.2412 0.7874 0.2277 [2 per cell]  1 Be 2.15
Pd 0.2536 0.6600 0.8452 [2 per cell]  1 Be 2.17
Pd 0.2635 0.2104 0.7821 [2 per cell]  1 Be 2.15

[3]
First-principles (PBE-GGA) data for a geometry-optimized Y2Be2AlPd5 structure, as listed in the Alexandria database.

## Properties
- DOS(E_F): 0.473 states/eV per atom
- Mass density: 7864 kg/m³
- E_tot: -5.795 eV/atom
- Magnetic moment: 0.00 μB/f.u.

Unit cell a=9.6526 b=9.6526 c=3.4220 alpha=90.00 beta=90.00 gamma=90.00
With the nearest neighbours (Å) after each atom.
Space group P4/mbm (No. 127)
Inequivalent atoms, fractional coordinates:
Y 0.1775 0.3225 0.0000 [4 per cell]  3 Be 2.78-2.92, 10 Pd 2.97-3.10
Be 0.1190 0.6190 0.0000 [4 per cell]  6 Pd 2.36-2.42
Al 0.0000 0.0000 0.0000 [2 per cell]  8 Pd 2.75
Pd 0.0000 0.5000 0.5000 [2 per cell]  4 Be 2.36
Pd 0.0664 0.7876 0.5000 [8 per cell]  2 Be 2.42

[4]
First-principles (PBE-GGA) data for a geometry-optimized YBeAl2Pd4 structure, as listed in the Alexandria database.

## Properties
- DOS(E_F): 0.415 states/eV per atom
- Mass density: 7382 kg/m³
- E_tot: -5.611 eV/atom
- Magnetic moment: 0.00 μB/f.u.

Unit cell a=4.2545 b=4.2545 c=24.8636 alpha=90.00 beta=90.00 gamma=120.00
With the nearest neighbours (Å) after each atom.
Space group R-3m (No. 166, hexagonal axes)
Inequivalent atoms, fractional coordinates:
Y 0.0000 0.0000 0.0000 [3 per cell]  8 Pd 3.05-3.36, 6 Al 3.38
Be 0.0000 0.0000 0.5000 [3 per cell]  8 Pd 2.34-2.58
Al 0.0000 0.0000 0.2397 [6 per cell]  7 Pd 2.51-2.66
Pd 0.0000 0.0000 0.1352 [6 per cell]  3 Be 2.58, 4 Al 2.60-2.66
Pd 0.0000 0.0000 0.4059 [6 per cell]  1 Be 2.34, 3 Al 2.51

[5]
First-principles (PBE-GGA) data for a geometry-optimized BeAl2ZnPd structure, as listed in the Alexandria database.

## Properties
- DOS(E_F): 0.257 states/eV per atom
- Mass density: 5068 kg/m³
- E_tot: -3.324 eV/atom
- Magnetic moment: 0.00 μB/f.u.

Unit cell a=4.2787 b=4.2787 c=4.2024 alpha=90.00 beta=90.00 gamma=90.00
With the nearest neighbours (Å) after each atom.
Space group P4/mmm (No. 123)
Inequivalent atoms, fractional coordinates:
Be 0.0000 0.0000 0.0000 [1 per cell]  2 Zn 2.10, 4 Al 2.14
Al 0.0000 0.5000 0.0000 [2 per cell]  2 Be 2.14
Zn 0.0000 0.0000 0.5000 [1 per cell]  2 Be 2.10
Pd 0.5000 0.5000 0.5000 [1 per cell]  8 Al 3.00, 4 Zn 3.03

[6]
First-principles (PBE-GGA) data for a geometry-optimized PmBe2Al2 structure, as listed in the Alexandria database.

## Properties
- DOS(E_F): 0.220 states/eV per atom
- Mass density: 4335 kg/m³
- E_tot: -4.209 eV/atom
- Magnetic moment: 0.00 μB/f.u.

Unit cell a=4.0566 b=4.0566 c=10.1013 alpha=90.00 beta=90.00 gamma=90.00
With the nearest neighbours (Å) after each atom.
Space group P4/nmm (No. 129, origin choice 2)
Inequivalent atoms, fractional coordinates:
Pm 0.2500 0.2500 0.2442 [2 per cell]  8 Be 3.10-3.19, 8 Al 3.11-3.29
Be 0.2500 0.2500 0.6385 [2 per cell]  5 Al 2.38-2.46
Be 0.2500 0.7500 0.0000 [2 per cell]  4 Al 2.39
Al 0.2500 0.2500 0.8745 [2 per cell]  5 Be 2.38-2.39
Al 0.2500 0.7500 0.5000 [2 per cell]  4 Be 2.46

[7]
First-principles (PBE-GGA) data for a geometry-optimized Pm3Be2Al7 structure, as listed in the Alexandria database.

## Properties
- DOS(E_F): 0.221 states/eV per atom
- Mass density: 4724 kg/m³
- E_tot: -4.357 eV/atom
- Magnetic moment: 0.00 μB/f.u.

Unit cell a=5.5644 b=5.5644 c=25.2441 alpha=90.00 beta=90.00 gamma=120.00
With the nearest neighbours (Å) after each atom.
Space group R-3m (No. 166, hexagonal axes)
Inequivalent atoms, fractional coordinates:
Pm 0.0000 0.0000 0.0000 [3 per cell]  6 Be 3.21, 12 Al 3.37, 2 Pm 3.56
Pm 0.0000 0.0000 0.1409 [6 per cell]  12 Al 3.24-3.36, 4 Pm 3.47-3.56
Be 0.0000 0.0000 0.3352 [6 per cell]  6 Al 2.46-2.51
Al 0.0000 0.0000 0.5000 [3 per cell]  6 Al 2.83
Al 0.0048 0.5024 0.9249 [18 per cell]  2 Be 2.46-2.51, 2 Al 2.74

[8]
First-principles (PBE-GGA) data for a geometry-optimized Pm3BeAl3 structure, as listed in the Alexandria database.

## Properties
- DOS(E_F): 0.860 states/eV per atom
- Mass density: 5229 kg/m³
- E_tot: -4.454 eV/atom
- Magnetic moment: 0.00 μB/f.u.

Unit cell a=3.8121 b=4.4341 c=19.7267 alpha=90.00 beta=90.00 gamma=90.00
With the nearest neighbours (Å) after each atom.
Space group Imm2 (No. 44)
Inequivalent atoms, fractional coordinates:
Pm 0.0000 0.0000 0.0000 [2 per cell]  6 Al 3.13-3.23
Pm 0.0000 0.0000 0.3763 [2 per cell]  2 Be 3.04, 4 Al 3.13
Pm 0.0000 0.5000 0.1928 [2 per cell]  8 Al 3.16-3.30, 4 Be 3.18
Be 0.0000 0.5000 0.7560 [2 per cell]  3 Al 2.45-2.56
Al 0.0000 0.0000 0.5559 [2 per cell]  2 Al 2.68
Al 0.0000 0.0000 0.8204 [2 per cell]  2 Be 2.56
Al 0.0000 0.5000 0.6319 [2 per cell]  1 Be 2.45, 2 Al 2.68

[9]
First-principles (PBE-GGA) data for a geometry-optimized PmBeAl2Pt4 structure, as listed in the Alexandria database.

## Properties
- DOS(E_F): 0.422 states/eV per atom
- Mass density: 12247 kg/m³
- E_tot: -6.038 eV/atom
- Magnetic moment: 0.00 μB/f.u.

Unit cell a=4.2358 b=4.2358 c=25.8713 alpha=90.00 beta=90.00 gamma=120.00
With the nearest neighbours (Å) after each atom.
Space group R-3m (No. 166, hexagonal axes)
Inequivalent atoms, fractional coordinates:
Pm 0.0000 0.0000 0.0000 [3 per cell]  6 Pt 3.11, 6 Al 3.47
Be 0.0000 0.0000 0.5000 [3 per cell]  8 Pt 2.39-2.56
Al 0.0000 0.0000 0.2383 [6 per cell]  7 Pt 2.50-2.68
Pt 0.0000 0.0000 0.1372 [6 per cell]  3 Be 2.56, 4 Al 2.62-2.68
Pt 0.0000 0.0000 0.4078 [6 per cell]  1 Be 2.39, 3 Al 2.50

[10]
First-principles (PBE-GGA) data for a geometry-optimized Pm2Be3AlPt4 structure, as listed in the Alexandria database.

## Properties
- DOS(E_F): 0.477 states/eV per atom
- Mass density: 11176 kg/m³
- E_tot: -5.791 eV/atom
- Magnetic moment: 0.00 μB/f.u.

Unit cell a=4.0925 b=4.0925 c=9.9740 alpha=90.00 beta=90.00 gamma=90.00
With the nearest neighbours (Å) after each atom.
Space group P-4m2 (No. 115)
Inequivalent atoms, fractional coordinates:
Pm 0.0000 0.5000 0.2419 [2 per cell]  8 Pt 3.12-3.16, 6 Be 3.15-3.29, 2 Al 3.29
Be 0.0000 0.5000 0.8826 [2 per cell]  5 Pt 2.36-2.41
Be 0.5000 0.5000 0.5000 [1 per cell]  4 Pt 2.48
Al 0.0000 0.0000 0.5000 [1 per cell]  4 Pt 2.48
Pt 0.0000 0.0000 0.0000 [1 per cell]  4 Be 2.36
Pt 0.0000 0.5000 0.6405 [2 per cell]  3 Be 2.41-2.48, 2 Al 2.48
Pt 0.5000 0.5000 0.0000 [1 per cell]  4 Be 2.36

[11]
First-principles (PBE-GGA) data for a geometry-optimized PmBeAlPt3 structure, as listed in the Alexandria database.

## Properties
- DOS(E_F): 0.434 states/eV per atom
- Mass density: 11154 kg/m³
- E_tot: -5.830 eV/atom
- Magnetic moment: 0.00 μB/f.u.

Unit cell a=6.8412 b=11.9510 c=5.5811 alpha=90.00 beta=90.00 gamma=90.00
With the nearest neighbours (Å) after each atom.
Space group Cmcm (No. 63)
Inequivalent atoms, fractional coordinates:
Pm 0.0000 0.2097 0.2500 [4 per cell]  6 Pt 2.95-3.18, 2 Be 3.06
Be 0.0000 0.1044 0.7500 [4 per cell]  5 Pt 2.22-2.33
Al 0.0000 0.4982 0.7500 [4 per cell]  5 Pt 2.47-2.49
Pt 0.0000 0.2898 0.7500 [4 per cell]  1 Be 2.22
Pt 0.2023 0.0000 0.0000 [8 per cell]  2 Be 2.33, 2 Al 2.47

[12]
First-principles (PBE-GGA) data for a geometry-optimized Pm2BeAl3Pt4 structure, as listed in the Alexandria database.

## Properties
- DOS(E_F): 0.839 states/eV per atom
- Mass density: 10476 kg/m³
- E_tot: -5.880 eV/atom
- Magnetic moment: 0.00 μB/f.u.

Unit cell a=4.2104 b=4.2104 c=10.3746 alpha=90.00 beta=90.00 gamma=90.00
With the nearest neighbours (Å) after each atom.
Space group P-4m2 (No. 115)
Inequivalent atoms, fractional coordinates:
Pm 0.0000 0.5000 0.2425 [2 per cell]  8 Pt 3.22-3.40, 6 Al 3.24-3.28, 2 Be 3.28
Be 0.5000 0.5000 0.0000 [1 per cell]  4 Pt 2.47
Al 0.0000 0.0000 0.0000 [1 per cell]  4 Pt 2.47
Al 0.0000 0.5000 0.6335 [2 per cell]  5 Pt 2.50-2.52
Pt 0.0000 0.0000 0.5000 [1 per cell]  4 Al 2.52
Pt 0.0000 0.5000 0.8748 [2 per cell]  2 Be 2.47, 3 Al 2.47-2.50
Pt 0.5000 0.5000 0.5000 [1 per cell]  4 Al 2.52

[13]
First-principles (PBE-GGA) data for a geometry-optimized PmBe2AlPt4 structure, as listed in the Alexandria database.

## Properties
- DOS(E_F): 0.469 states/eV per atom
- Mass density: 12576 kg/m³
- E_tot: -5.847 eV/atom
- Magnetic moment: 0.00 μB/f.u.

Unit cell a=4.1032 b=4.1032 c=26.3608 alpha=90.00 beta=90.00 gamma=120.00
With the nearest neighbours (Å) after each atom.
Space group R-3m (No. 166, hexagonal axes)
Inequivalent atoms, fractional coordinates:
Pm 0.0000 0.0000 0.0000 [3 per cell]  6 Pt 3.03
Be 0.0000 0.0000 0.2404 [6 per cell]  6 Pt 2.43-2.58
Al 0.0000 0.0000 0.5000 [3 per cell]  8 Pt 2.50-2.54
Pt 0.0000 0.0000 0.1319 [6 per cell]  3 Al 2.54, 3 Be 2.58
Pt 0.0000 0.0000 0.4052 [6 per cell]  3 Be 2.43, 1 Al 2.50

[14]
First-principles (PBE-GGA) data for a geometry-optimized PmBeAlPt2 structure, as listed in the Alexandria database.

## Properties
- DOS(E_F): 0.525 states/eV per atom
- Mass density: 10553 kg/m³
- E_tot: -5.800 eV/atom
- Magnetic moment: 0.00 μB/f.u.

Unit cell a=3.9422 b=3.9422 c=11.5666 alpha=90.00 beta=90.00 gamma=90.00
With the nearest neighbours (Å) after each atom.
Space group I-4m2 (No. 119)
Inequivalent atoms, fractional coordinates:
Pm 0.0000 0.0000 0.0000 [2 per cell]  8 Pt 3.12
Be 0.0000 0.5000 0.7500 [2 per cell]  4 Pt 2.47
Al 0.0000 0.5000 0.2500 [2 per cell]  4 Pt 2.47
Pt 0.0000 0.0000 0.3782 [4 per cell]  2 Be 2.47, 2 Al 2.47

[15]
First-principles (PBE-GGA) data for a geometry-optimized PmScBeAl structure, as listed in the Alexandria database.

## Properties
- DOS(E_F): 0.855 states/eV per atom
- Mass density: 4517 kg/m³
- E_tot: -4.757 eV/atom
- Magnetic moment: 0.00 μB/f.u.

Unit cell a=6.9261 b=6.9261 c=6.9261 alpha=90.00 beta=90.00 gamma=90.00
With the nearest neighbours (Å) after each atom.
Space group F-43m (No. 216)
Inequivalent atoms, fractional coordinates:
Pm 0.0000 0.0000 0.0000 [4 per cell]  4 Be 3.00, 4 Al 3.00
Sc 0.0000 0.0000 0.5000 [4 per cell]  4 Be 3.00, 4 Al 3.00
Be 0.2500 0.2500 0.7500 [4 per cell]  4 Pm 3.00, 4 Sc 3.00
Al 0.2500 0.2500 0.2500 [4 per cell]  4 Sc 3.00, 4 Pm 3.00

[16]
First-principles (PBE-GGA) data for a geometry-optimized PmThBeAl structure, as listed in the Alexandria database.

## Properties
- DOS(E_F): 0.478 states/eV per atom
- Mass density: 7191 kg/m³
- E_tot: -4.925 eV/atom
- Magnetic moment: 0.00 μB/f.u.

Unit cell a=7.2528 b=7.2528 c=7.2528 alpha=90.00 beta=90.00 gamma=90.00
With the nearest neighbours (Å) after each atom.
Space group F-43m (No. 216)
Inequivalent atoms, fractional coordinates:
Pm 0.0000 0.0000 0.0000 [4 per cell]  4 Be 3.14, 4 Al 3.14
Th 0.0000 0.0000 0.5000 [4 per cell]  4 Be 3.14, 4 Al 3.14
Be 0.2500 0.2500 0.2500 [4 per cell]  4 Th 3.14, 4 Pm 3.14
Al 0.2500 0.2500 0.7500 [4 per cell]  4 Th 3.14, 4 Pm 3.14

[17]
First-principles (PBE-GGA) data for a geometry-optimized PmTmBeAl structure, as listed in the Alexandria database.

## Properties
- DOS(E_F): 0.831 states/eV per atom
- Mass density: 6504 kg/m³
- E_tot: -4.272 eV/atom
- Magnetic moment: 0.00 μB/f.u.

Unit cell a=7.0964 b=7.0964 c=7.0964 alpha=90.00 beta=90.00 gamma=90.00
With the nearest neighbours (Å) after each atom.
Space group F-43m (No. 216)
Inequivalent atoms, fractional coordinates:
Pm 0.0000 0.0000 0.0000 [4 per cell]  4 Be 3.07, 4 Al 3.07
Tm 0.0000 0.0000 0.5000 [4 per cell]  4 Be 3.07, 4 Al 3.07
Be 0.2500 0.2500 0.7500 [4 per cell]  4 Pm 3.07, 4 Tm 3.07
Al 0.2500 0.2500 0.2500 [4 per cell]  4 Pm 3.07, 4 Tm 3.07

[18]
First-principles (PBE-GGA) data for a geometry-optimized Pr2BeAl structure, as listed in the Alexandria database.

## Properties
- DOS(E_F): 0.723 states/eV per atom
- Mass density: 4697 kg/m³
- E_tot: -3.625 eV/atom
- Energy above the most stable polymorph in this dataset: 2.74 eV/f.u.
- Magnetic moment: 0.00 μB/f.u.

Unit cell a=3.4456 b=3.4456 c=32.7813 alpha=90.00 beta=90.00 gamma=120.00
With the nearest neighbours (Å) after each atom.
Space group R-3m (No. 166, hexagonal axes)
Inequivalent atoms, fractional coordinates:
Pr 0.0000 0.0000 0.0924 [6 per cell]  1 Be 3.03, 3 Al 3.14
Be 0.0000 0.0000 0.0000 [3 per cell]  2 Pr 3.03
Al 0.0000 0.0000 0.5000 [3 per cell]  6 Pr 3.14, 6 Al 3.45

[19]
First-principles (PBE-GGA) data for a geometry-optimized Pr2BeAl structure, as listed in the Alexandria database.

## Properties
- DOS(E_F): 0.824 states/eV per atom
- Mass density: 5395 kg/m³
- E_tot: -4.310 eV/atom
- Energy above the most stable polymorph in this dataset: 0.00 eV/f.u.
- Magnetic moment: 0.00 μB/f.u.

Unit cell a=3.6262 b=3.6262 c=7.4395 alpha=90.00 beta=90.00 gamma=90.00
With the nearest neighbours (Å) after each atom.
Space group P4/mmm (No. 123)
Inequivalent atoms, fractional coordinates:
Pr 0.0000 0.0000 0.2323 [2 per cell]  4 Be 3.09, 4 Al 3.25, 1 Pr 3.46
Be 0.5000 0.5000 0.0000 [1 per cell]  8 Pr 3.09
Al 0.5000 0.5000 0.5000 [1 per cell]  8 Pr 3.25, 4 Al 3.63

[20]
First-principles (PBE-GGA) data for a geometry-optimized Pr2BeAlPt6 structure, as listed in the Alexandria database.

## Properties
- DOS(E_F): 0.212 states/eV per atom
- Mass density: 13067 kg/m³
- E_tot: -6.236 eV/atom
- Magnetic moment: 0.00 μB/f.u.

Unit cell a=5.8253 b=5.8253 c=19.3074 alpha=90.00 beta=90.00 gamma=120.00
With the nearest neighbours (Å) after each atom.
Space group R-3m (No. 166, hexagonal axes)
Inequivalent atoms, fractional coordinates:
Pr 0.0000 0.0000 0.2157 [6 per cell]  9 Pt 3.07-3.37
Be 0.0000 0.0000 0.0000 [3 per cell]  6 Pt 2.18
Al 0.0000 0.0000 0.5000 [3 per cell]  6 Pt 2.51
Pt 0.0150 0.5075 0.2665 [18 per cell]  1 Be 2.18